(1)
Entry from Alexandria: crystalline Er3PaAs4 at its relaxed geometry (PBE).

Computed properties:
**Energy of formation from the pure elements**: -32.40 kcal/mol of atoms
**Energy above the lowest structure with this stoichiometry**: 0 meV/atom

Cell: 5.7694 5.7694 11.5290 Å, 90.00 90.00 90.00°
Space group I4/mmm (No. 139)
Unique sites:
Er 0.0000 0.0000 0.0000 (multiplicity 2)
Er 0.0000 0.5000 0.2500 (multiplicity 4)
Pa 0.0000 0.0000 0.5000 (multiplicity 2)
As 0.0000 0.0000 0.2526 (multiplicity 4)
As 0.0000 0.5000 0.0000 (multiplicity 4)

(2)
Entry from Alexandria: crystalline YTmTh at its relaxed geometry (PBE).

Computed properties:
**Energy of formation from the pure elements**: 0.51 kcal/mol of atoms
**Energy above the lowest structure with this stoichiometry**: 0 meV/atom

Cell: 3.5658 3.5658 8.6183 Å, 90.00 90.00 120.00°
Space group P3m1 (No. 156)
Unique sites:
Y 0.0000 0.0000 0.0000 (multiplicity 1)
Tm 0.3333 0.6667 0.6561 (multiplicity 1)
Th 0.6667 0.3333 0.3318 (multiplicity 1)

(3)
Entry from Alexandria: crystalline Tb6Pr8Dy at its relaxed geometry (PBE).

Computed properties:
**Energy of formation from the pure elements**: 3.71 kcal/mol of atoms
**Energy above the lowest structure with this stoichiometry**: 0 meV/atom

Cell: 9.9326 9.9326 18.0943 Å, 90.00 90.00 120.00°
Space group R-3 (No. 148, hexagonal axes)
Unique sites:
Tb 0.0395 0.2869 0.1764 (multiplicity 18)
Pr 0.0000 0.0000 0.0869 (multiplicity 6)
Pr 0.0550 0.2390 0.6708 (multiplicity 18)
Dy 0.0000 0.0000 0.5000 (multiplicity 3)

(4)
Entry from Alexandria: crystalline Re3Sb at its relaxed geometry (PBE).

Computed properties:
**Uncorrected formation energy**: 3.5 eV/f.u.
**Energy above the lowest structure with this stoichiometry**: 456 meV/atom

Cell: 5.0862 5.0862 5.0862 Å, 90.00 90.00 90.00°
Space group Pm-3n (No. 223)
Unique sites:
Re 0.0000 0.2500 0.5000 (multiplicity 6)
Sb 0.0000 0.0000 0.0000 (multiplicity 2)

(5)
Entry from Alexandria: crystalline GdH2Rh at its relaxed geometry (PBE).

Computed properties:
**Total DFT energy (no corrections)**: -7.14 eV per atom

Cell: 3.2035 3.2035 16.1884 Å, 90.00 90.00 120.00°
Space group R-3m (No. 166, hexagonal axes)
Unique sites:
Gd 0.0000 0.0000 0.0000 (multiplicity 3)
H 0.0000 0.0000 0.1416 (multiplicity 6)
Rh 0.0000 0.0000 0.5000 (multiplicity 3)

(6)
Entry from Alexandria: crystalline LiTcPO2 at its relaxed geometry (PBE).

Computed properties:
**Uncorrected formation energy**: -4.2 eV/f.u.
**Energy above the lowest structure with this stoichiometry**: 0 meV/atom

Cell: 3.7814 3.7814 4.9885 Å, 90.00 90.00 90.00°
Space group P4/mmm (No. 123)
Unique sites:
Li 0.0000 0.0000 0.0000 (multiplicity 1)
Tc 0.5000 0.5000 0.5000 (multiplicity 1)
P 0.5000 0.5000 0.0000 (multiplicity 1)
O 0.0000 0.5000 0.5000 (multiplicity 2)

(7)
Entry from Alexandria: crystalline KZnAu2Br at its relaxed geometry (PBE).

Computed properties:
**Uncorrected formation energy**: 1.2 eV/f.u.

Cell: 5.3926 5.3926 6.0153 Å, 90.00 90.00 90.00°
Space group P4/mmm (No. 123)
Unique sites:
K 0.0000 0.0000 0.0000 (multiplicity 1)
Zn 0.5000 0.5000 0.0000 (multiplicity 1)
Au 0.0000 0.5000 0.5000 (multiplicity 2)
Br 0.0000 0.0000 0.5000 (multiplicity 1)

(8)
Entry from Alexandria: crystalline LiIn2Re at its relaxed geometry (PBE).

Computed properties:
**Energy of formation from the pure elements**: 6.55 kcal/mol of atoms
**Energy above the lowest structure with this stoichiometry**: 52 meV/atom

Cell: 10.4386 3.0409 4.8236 Å, 90.00 107.71 90.00°
Space group Cm (No. 8)
Unique sites:
Li 0.0000 0.0000 0.0000 (multiplicity 2)
In 0.0230 0.5000 0.5404 (multiplicity 2)
In 0.2615 0.5000 0.1445 (multiplicity 2)
Re 0.2634 0.0000 0.6442 (multiplicity 2)

(9)
Entry from Alexandria: crystalline PmNdRuRh at its relaxed geometry (PBE).

Computed properties:
**Energy of formation from the pure elements**: -8.76 kcal/mol of atoms

Cell: 7.0342 7.0342 7.0342 Å, 90.00 90.00 90.00°
Space group F-43m (No. 216)
Unique sites:
Pm 0.0000 0.0000 0.0000 (multiplicity 4)
Nd 0.0000 0.0000 0.5000 (multiplicity 4)
Ru 0.2500 0.2500 0.2500 (multiplicity 4)
Rh 0.2500 0.2500 0.7500 (multiplicity 4)

(10)
Entry from Alexandria: crystalline PbAu2I8 at its relaxed geometry (PBE).

Computed properties:
**Uncorrected formation energy**: -1.5 eV/f.u.

Cell: 8.1298 8.1298 13.4106 Å, 90.00 90.00 90.00°
Space group I422 (No. 97)
Unique sites:
Pb 0.0000 0.0000 0.0000 (multiplicity 2)
Au 0.0000 0.5000 0.2500 (multiplicity 4)
I 0.1732 0.3208 0.6148 (multiplicity 16)

(11)
Entry from Alexandria: crystalline Sr2CuOs at its relaxed geometry (PBE).

Computed properties:
**Energy of formation from the pure elements**: 27.92 kcal/mol of atoms

Cell: 4.6109 4.6109 19.6330 Å, 90.00 90.00 90.00°
Space group I-42d (No. 122)
Unique sites:
Sr 0.2491 0.2500 0.1250 (multiplicity 8)
Cu 0.0000 0.0000 0.5000 (multiplicity 4)
Os 0.0000 0.0000 0.0000 (multiplicity 4)

(12)
Entry from Alexandria: crystalline KNa2Bi at its relaxed geometry (PBE).

Computed properties:
**Energy of formation from the pure elements**: -7.85 kcal/mol of atoms

Cell: 5.4984 5.4984 18.2655 Å, 90.00 90.00 120.00°
Space group R3m (No. 160, hexagonal axes)
Unique sites:
K 0.0000 0.0000 0.0000 (multiplicity 3)
Na 0.0000 0.0000 0.1911 (multiplicity 3)
Na 0.0000 0.0000 0.4682 (multiplicity 3)
Bi 0.0000 0.0000 0.7969 (multiplicity 3)

(13)
Entry from Alexandria: crystalline CsNbReGe2 at its relaxed geometry (PBE).

Computed properties:
**Energy of formation from the pure elements**: 41.95 kcal/mol of atoms

Cell: 5.1066 5.1066 6.0093 Å, 90.00 90.00 90.00°
Space group P4/mmm (No. 123)
Unique sites:
Cs 0.0000 0.0000 0.0000 (multiplicity 1)
Nb 0.0000 0.0000 0.5000 (multiplicity 1)
Re 0.5000 0.5000 0.0000 (multiplicity 1)
Ge 0.0000 0.5000 0.5000 (multiplicity 2)

(14)
Entry from Alexandria: crystalline RhAu2OF at its relaxed geometry (PBE).

Computed properties:
**Uncorrected formation energy**: 5.2 eV/f.u.

Cell: 4.7175 4.7175 4.0419 Å, 90.00 90.00 90.00°
Space group P4/mmm (No. 123)
Unique sites:
Rh 0.0000 0.0000 0.0000 (multiplicity 1)
Au 0.0000 0.5000 0.5000 (multiplicity 2)
O 0.5000 0.5000 0.0000 (multiplicity 1)
F 0.0000 0.0000 0.5000 (multiplicity 1)

(15)
Entry from Alexandria: crystalline Rb2CdTcO4 at its relaxed geometry (PBE).

Computed properties:
**Uncorrected formation energy**: -10.4 eV/f.u.

Cell: 7.5456 7.5456 7.4144 Å, 90.00 90.00 90.00°
Space group I-4 (No. 82)
Unique sites:
Rb 0.0000 0.0000 0.0000 (multiplicity 2)
Rb 0.0000 0.5000 0.2500 (multiplicity 2)
Cd 0.0000 0.0000 0.5000 (multiplicity 2)
Tc 0.0000 0.5000 0.7500 (multiplicity 2)
O 0.1073 0.3419 0.8944 (multiplicity 8)

no.,Fermi-level density of states (states/eV/atom)
1,0.471
2,1.601
3,1.520
4,1.147
5,0.528
6,0.528
7,0.179
8,0.664
9,0.767
10,0.247
11,0.528
12,0.192
13,0.716
14,1.284
15,0.752